Record 1
ErPb2Se4 (PBE, optimized geometry); total magnetic moment = 0.00 μB/cell; symmetry = No. 63; E = -4.556 eV/atom
1.0
-1.246 -3.476 -1.731
7.177 0.670 -1.706
3.370 -6.914 11.459
Er Pb Se
2 4 8
direct
0.609 0.218 0.750 Er
0.391 0.782 0.250 Er
0.134 0.267 0.434 Pb
0.866 0.733 0.934 Pb
0.134 0.267 0.066 Pb
0.866 0.733 0.566 Pb
0.790 0.581 0.137 Se
0.790 0.581 0.363 Se
0.210 0.419 0.863 Se
0.210 0.419 0.637 Se
0.969 0.938 0.750 Se
0.031 0.062 0.250 Se
0.500 0.000 0.000 Se
0.500 0.000 0.500 Se

=====

Record 2
Er2PbSe (PBE, optimized geometry); total magnetic moment = 0.00 μB/cell; symmetry = No. 141; excess energy over the best structure of this formula in the dataset = 0.0 meV/atom
1.0
5.549 0.000 -2.343
-0.990 5.460 -2.343
-0.169 -0.202 7.340
Er Pb Se
4 2 2
direct
0.756 0.756 0.512 Er
0.506 0.006 0.012 Er
0.244 0.244 0.488 Er
0.994 0.494 0.988 Er
0.500 0.500 0.000 Pb
0.250 0.750 0.500 Pb
0.750 0.250 0.500 Se
0.000 0.000 0.000 Se

=====

Record 3
Er2PbSe (PBE, optimized geometry); total magnetic moment = 0.00 μB/cell; symmetry = No. 123; excess energy over the best structure of this formula in the dataset = 185.1 meV/atom
1.0
-1.156 -2.369 2.336
3.318 -1.006 0.622
0.564 5.442 5.797
Pb Se Er
1 1 2
direct
0.500 0.500 0.500 Pb
0.500 0.500 0.000 Se
0.000 0.000 0.776 Er
0.000 0.000 0.224 Er

=====

Record 4
Er3PbSe (PBE, optimized geometry); total magnetic moment = 0.00 μB/cell; symmetry = No. 14; E = -4.948 eV/atom
1.0
-2.164 0.432 6.257
3.498 -8.185 1.775
6.233 8.638 1.559
Er Pb Se
12 4 4
direct
0.098 0.717 0.671 Er
0.902 0.283 0.329 Er
0.598 0.783 0.829 Er
0.402 0.217 0.171 Er
0.580 0.668 0.467 Er
0.420 0.332 0.533 Er
0.080 0.832 0.033 Er
0.920 0.168 0.967 Er
0.171 0.576 0.176 Er
0.829 0.424 0.824 Er
0.671 0.924 0.324 Er
0.329 0.076 0.676 Er
0.814 0.003 0.647 Pb
0.186 0.997 0.353 Pb
0.314 0.497 0.853 Pb
0.686 0.503 0.147 Pb
0.226 0.496 0.400 Se
0.774 0.504 0.600 Se
0.726 0.004 0.100 Se
0.274 0.996 0.900 Se

=====

Record 5
ErPbSe3 (PBE, optimized geometry); total magnetic moment = 0.00 μB/cell; symmetry = No. 12; E = -4.827 eV/atom
1.0
5.594 0.000 0.000
-2.797 7.635 0.067
0.000 -1.942 7.464
Er Pb Se
2 2 6
direct
0.848 0.697 0.102 Er
0.152 0.303 0.898 Er
0.643 0.286 0.338 Pb
0.357 0.714 0.662 Pb
0.837 0.675 0.449 Se
0.338 0.675 0.048 Se
0.957 0.915 0.839 Se
0.163 0.325 0.551 Se
0.043 0.085 0.161 Se
0.662 0.325 0.952 Se

=====

Record 6
Er4SiPbSe2 (PBE, optimized geometry); total magnetic moment = 0.00 μB/cell; symmetry = No. 10; E = -5.444 eV/atom
1.0
4.101 0.000 0.000
0.000 7.240 -0.165
0.000 2.529 6.835
Er Si Pb Se
4 1 1 2
direct
0.000 0.752 0.733 Er
0.000 0.248 0.267 Er
0.500 0.740 0.265 Er
0.500 0.260 0.735 Er
0.000 0.500 0.500 Si
0.500 0.500 0.000 Pb
0.000 0.000 0.000 Se
0.500 0.000 0.500 Se

=====

Record 7
SmErPbSe (PBE, optimized geometry); total magnetic moment = 0.00 μB/cell; symmetry = No. 123; E = -5.217 eV/atom
1.0
4.336 0.000 0.000
0.000 4.328 0.262
0.000 -0.365 6.041
Sm Er Pb Se
1 1 1 1
direct
0.500 0.391 0.093 Sm
0.000 0.892 0.592 Er
0.000 0.891 0.092 Pb
0.500 0.392 0.593 Se